! AgSeBr2, relaxed, DFT PBE-GGA; values from VASP
! space group = P2_1/c
! uncorrected formation energy = -0.62 eV per formula unit
! energy = -2.576 eV/atom
! D(E_F) = 0.0 states/eV per cell
&SYSTEM
  ibrav = 0, nat = 16, ntyp = 3
/
ATOMIC_SPECIES
Se 78.96 Se.upf
Br 79.90 Br.upf
Ag 107.87 Ag.upf
ATOMIC_POSITIONS crystal
Se 0.945 0.544 0.909
Br 0.183 0.330 0.435
Ag 0.366 0.174 0.128
Br 0.817 0.670 0.565
Ag 0.634 0.826 0.872
Br 0.251 0.715 0.332
Br 0.683 0.170 0.065
Se 0.445 0.956 0.591
Se 0.555 0.044 0.409
Ag 0.134 0.674 0.628
Ag 0.866 0.326 0.372
Se 0.055 0.456 0.091
Br 0.749 0.285 0.668
Br 0.249 0.215 0.832
Br 0.317 0.830 0.935
Br 0.751 0.785 0.168
CELL_PARAMETERS angstrom
-4.541 -4.541 5.214
-7.117 -0.529 -6.658
6.406 -5.537 0.756

! Zn2InBr2, relaxed, DFT PBE-GGA; values from VASP
! space group = I4/mmm
! uncorrected formation energy = -1.21 eV per formula unit
! energy = -1.967 eV/atom
! D(E_F) = 1.8 states/eV per cell
&SYSTEM
  ibrav = 0, nat = 5, ntyp = 3
/
ATOMIC_SPECIES
Zn 65.41 Zn.upf
In 114.82 In.upf
Br 79.90 Br.upf
ATOMIC_POSITIONS crystal
Zn 0.350 0.350 0.301
Zn 0.650 0.650 0.699
In 0.000 0.000 0.000
Br 0.750 0.250 0.500
Br 0.250 0.750 0.500
CELL_PARAMETERS angstrom
5.818 0.000 0.000
0.000 5.818 0.000
2.909 2.909 4.033

! Mg2CdSe, relaxed, DFT PBE-GGA; values from VASP
! space group = C2/m
! uncorrected formation energy = -1.96 eV per formula unit
! energy = -2.388 eV/atom
! D(E_F) = 2.2 states/eV per cell
&SYSTEM
  ibrav = 0, nat = 4, ntyp = 3
/
ATOMIC_SPECIES
Cd 112.41 Cd.upf
Mg 24.30 Mg.upf
Se 78.96 Se.upf
ATOMIC_POSITIONS crystal
Cd 0.250 0.250 0.250
Mg 0.013 0.013 0.959
Se 0.750 0.750 0.750
Mg 0.487 0.487 0.541
CELL_PARAMETERS angstrom
-2.196 0.705 -2.916
-1.131 -2.770 -2.206
-7.415 -1.695 2.829

! PmPaZnBi, relaxed, DFT PBE-GGA; values from VASP
! space group = F-43m
! DFT formation energy = -78 meV/atom
! energy = -4.928 eV/atom
! D(E_F) = 8.8 states/eV per cell
&SYSTEM
  ibrav = 0, nat = 4, ntyp = 4
/
ATOMIC_SPECIES
Zn 65.41 Zn.upf
Bi 208.98 Bi.upf
Pa 231.04 Pa.upf
Pm 145.00 Pm.upf
ATOMIC_POSITIONS crystal
Zn 0.250 0.250 0.250
Bi 0.750 0.750 0.750
Pa 0.500 0.500 0.500
Pm 0.000 0.000 0.000
CELL_PARAMETERS angstrom
5.337 0.000 0.000
2.669 4.622 0.000
2.669 1.541 4.358

! K3Tb3BiS8, relaxed, DFT PBE-GGA; values from VASP
! space group = R-3m
! uncorrected formation energy = -22.88 eV per formula unit
! energy = -5.131 eV/atom
! D(E_F) = 2.5 states/eV per cell
&SYSTEM
  ibrav = 0, nat = 15, ntyp = 4
/
ATOMIC_SPECIES
S 32.06 S.upf
Bi 208.98 Bi.upf
Tb 158.93 Tb.upf
K 39.10 K.upf
ATOMIC_POSITIONS crystal
S 0.767 0.032 0.300
Bi 0.000 0.000 0.500
Tb 0.500 0.500 0.500
K 0.500 0.500 0.000
S 0.267 0.533 0.300
S 0.733 0.467 0.700
S 0.735 0.968 0.700
K 0.000 0.000 0.000
S 0.233 0.968 0.700
Tb 0.500 0.000 0.500
K 0.000 0.500 0.000
S 0.265 0.032 0.300
Tb 0.000 0.500 0.500
S 0.767 0.535 0.300
S 0.233 0.465 0.700
CELL_PARAMETERS angstrom
8.081 0.000 0.000
-4.041 6.997 -0.028
0.000 -4.637 7.521

! BeTlBiW2, relaxed, DFT PBE-GGA; values from VASP
! space group = P4/mmm
! DFT formation energy = 1408 meV/atom
! energy = -5.768 eV/atom
! D(E_F) = 5.8 states/eV per cell
&SYSTEM
  ibrav = 0, nat = 5, ntyp = 4
/
ATOMIC_SPECIES
Tl 204.38 Tl.upf
Bi 208.98 Bi.upf
Be 9.01 Be.upf
W 183.84 W.upf
ATOMIC_POSITIONS crystal
Tl 0.500 0.500 0.500
Bi 0.000 0.500 0.000
Be 0.000 0.000 0.000
W 0.500 0.000 0.000
W 0.000 0.000 0.500
CELL_PARAMETERS angstrom
-3.671 1.536 2.065
-2.133 -4.486 -0.454
1.717 -1.217 3.958

! ScCd2NiAu, relaxed, DFT PBE-GGA; values from VASP
! space group = P4/mmm
! DFT formation energy = 574 meV/atom
! energy = -2.871 eV/atom
! D(E_F) = 6.5 states/eV per cell
&SYSTEM
  ibrav = 0, nat = 5, ntyp = 4
/
ATOMIC_SPECIES
Cd 112.41 Cd.upf
Ni 58.69 Ni.upf
Au 196.97 Au.upf
Sc 44.96 Sc.upf
ATOMIC_POSITIONS crystal
Cd 0.500 0.000 0.000
Ni 0.500 0.500 0.500
Au 0.000 0.000 0.000
Sc 0.000 0.500 0.000
Cd 0.000 0.000 0.500
CELL_PARAMETERS angstrom
-0.625 -5.110 -0.133
4.937 -0.570 -1.304
1.282 -0.287 4.979

! Lu2InNi2, relaxed, DFT PBE-GGA; values from VASP
! space group = P4/mbm
! DFT formation energy = -539 meV/atom
! energy = -5.207 eV/atom
! D(E_F) = 4.7 states/eV per cell
&SYSTEM
  ibrav = 0, nat = 10, ntyp = 3
/
ATOMIC_SPECIES
Ni 58.69 Ni.upf
In 114.82 In.upf
Lu 174.97 Lu.upf
ATOMIC_POSITIONS crystal
Ni 0.000 0.879 0.621
Ni 0.000 0.379 0.879
In 0.000 0.000 0.000
Lu 0.500 0.672 0.828
Lu 0.500 0.328 0.172
Lu 0.500 0.172 0.672
Ni 0.000 0.121 0.379
In 0.000 0.500 0.500
Ni 0.000 0.621 0.121
Lu 0.500 0.828 0.328
CELL_PARAMETERS angstrom
3.492 0.000 0.000
0.000 7.374 0.000
0.000 0.000 7.374